DFT (GGA-PBE) results for an optimized crystal structure of CuAg2Te.

Energy above the most stable polymorph in this dataset   0.057 eV/atom
Magnetic moment   0.0000 μB per atom
Uncorrected formation energy   64 kJ/mol of formula units
Density   8.8 g/cm³

Cell lengths 3.6539, 3.6539, 5.7686 Å; angles 90.00, 90.00, 90.00 degrees
With the nearest neighbours (Å) after each atom.
Atoms (fractional coordinates):
Ag 0.0000 0.0000 0.0211  2 Cu 2.79-2.98, 4 Ag 2.89, 4 Te 3.09
Ag 0.5000 0.5000 0.2474  2 Te 2.77-3.00, 4 Ag 2.89, 4 Cu 2.98
Cu 0.0000 0.0000 0.5040  6 Ag 2.79-2.98, 4 Te 2.89
Te 0.5000 0.5000 0.7275  6 Ag 2.77-3.09, 4 Cu 2.89

---

DFT (GGA-PBE) results for an optimized crystal structure of Pr2SmHoSc.

Magnetic moment   0.0000 μB per atom
E_form   361 meV/atom
Density   6.2 g/cm³

Cell lengths 7.2410, 8.2845, 7.0716 Å; angles 125.86, 90.00, 90.00 degrees
With the nearest neighbours (Å) after each atom.
Atoms (fractional coordinates):
Pr 0.5000 0.3000 0.0000  2 Sc 3.08, 1 Pr 3.31
Pr 0.0000 0.7000 0.0000  2 Sc 3.08, 1 Pr 3.31
Pr 0.5000 0.7000 0.0000  2 Sc 3.08, 1 Pr 3.31
Pr 0.0000 0.3000 0.0000  2 Sc 3.08, 1 Pr 3.31
Sm 0.2500 0.7277 0.4553  1 Sc 2.98
Sm 0.7500 0.2723 0.5447  1 Sc 2.98
Ho 0.7500 0.7431 0.4863  1 Sc 3.08
Ho 0.2500 0.2569 0.5137  1 Sc 3.08
Sc 0.2500 0.9880 0.9760  1 Sm 2.98, 4 Pr 3.08, 1 Ho 3.08
Sc 0.7500 0.0120 0.0240  1 Sm 2.98, 4 Pr 3.08, 1 Ho 3.08

---

DFT (GGA-PBE) results for an optimized crystal structure of RbMnInSn2.

Magnetic moment   0.1736 μB per atom
E_form   53 meV/atom
Density   6.0 g/cm³

Cell lengths 5.0944, 5.0944, 5.2102 Å; angles 90.00, 90.00, 90.00 degrees
With the nearest neighbours (Å) after each atom.
Atoms (fractional coordinates):
Mn 0.0000 0.0000 0.0000  4 Sn 2.55, 2 In 2.61
Sn 0.0000 0.5000 0.0000  2 Mn 2.55
Sn 0.5000 0.0000 0.0000  2 Mn 2.55
Rb 0.5000 0.5000 0.5000  4 In 3.60, 8 Sn 3.64
In 0.0000 0.0000 0.5000  2 Mn 2.61

---

Please write out number 1 again, unchanged.
DFT (GGA-PBE) results for an optimized crystal structure of CuAg2Te.

Energy above the most stable polymorph in this dataset   0.057 eV/atom
Magnetic moment   0.0000 μB per atom
Uncorrected formation energy   64 kJ/mol of formula units
Density   8.8 g/cm³

Cell lengths 3.6539, 3.6539, 5.7686 Å; angles 90.00, 90.00, 90.00 degrees
With the nearest neighbours (Å) after each atom.
Atoms (fractional coordinates):
Ag 0.0000 0.0000 0.0211  2 Cu 2.79-2.98, 4 Ag 2.89, 4 Te 3.09
Ag 0.5000 0.5000 0.2474  2 Te 2.77-3.00, 4 Ag 2.89, 4 Cu 2.98
Cu 0.0000 0.0000 0.5040  6 Ag 2.79-2.98, 4 Te 2.89
Te 0.5000 0.5000 0.7275  6 Ag 2.77-3.09, 4 Cu 2.89

---

Repeat the second record exactly.
DFT (GGA-PBE) results for an optimized crystal structure of Pr2SmHoSc.

Magnetic moment   0.0000 μB per atom
E_form   361 meV/atom
Density   6.2 g/cm³

Cell lengths 7.2410, 8.2845, 7.0716 Å; angles 125.86, 90.00, 90.00 degrees
With the nearest neighbours (Å) after each atom.
Atoms (fractional coordinates):
Pr 0.5000 0.3000 0.0000  2 Sc 3.08, 1 Pr 3.31
Pr 0.0000 0.7000 0.0000  2 Sc 3.08, 1 Pr 3.31
Pr 0.5000 0.7000 0.0000  2 Sc 3.08, 1 Pr 3.31
Pr 0.0000 0.3000 0.0000  2 Sc 3.08, 1 Pr 3.31
Sm 0.2500 0.7277 0.4553  1 Sc 2.98
Sm 0.7500 0.2723 0.5447  1 Sc 2.98
Ho 0.7500 0.7431 0.4863  1 Sc 3.08
Ho 0.2500 0.2569 0.5137  1 Sc 3.08
Sc 0.2500 0.9880 0.9760  1 Sm 2.98, 4 Pr 3.08, 1 Ho 3.08
Sc 0.7500 0.0120 0.0240  1 Sm 2.98, 4 Pr 3.08, 1 Ho 3.08

---

The lowest density belongs to which entry?
RbMnInSn2